Compound: CaCdOs2
Source: the Alexandria database
Functional: PBE-GGA
Structure: optimized geometry

## Properties
E   -22.72 eV/cell
N(E_F)   4.04 states/eV per cell
Energy of formation   663.9 meV/atom

Cell lengths 2.9436, 4.9453, 5.0178 Å; angles 90.00, 93.45, 90.00 degrees
Fractional coordinates of all 4 atoms:
Ca: 0.0000 0.0000 0.0000
Cd: 0.5000 0.0000 0.5000
Os: 0.3462 0.5000 0.7582
Os: 0.6538 0.5000 0.2418